The following is a GGA-PBEsol calculation of crystalline CdIn2Bi at its relaxed geometry, from Alexandria via LeMat-Bulk.

## Properties
E   -11.28 eV for the cell shown
Density   8.554 g/cm3
Relative energy among the computed polymorphs   0 meV per atom
Density of states at the Fermi level   1.5 states/eV per cell
Energy of formation   0.043 eV per atom
Crystal system   cubic

Lattice parameters (Å, degrees): 5.328 5.328 5.328 60.00 60.00 60.00
Positions (direct):
In  0.250  0.250  0.250
In  0.750  0.750  0.750
Cd  0.000  0.000  0.000
Bi  0.500  0.500  0.500

=====

The following is a GGA-PBEsol calculation of crystalline Cd2In2Bi at its relaxed geometry, from Alexandria via LeMat-Bulk.

## Properties
E   -24.61 eV for the cell shown
Density   8.720 g/cm3
Density of states at the Fermi level   4.0 states/eV per cell
Energy of formation   0.068 eV per atom
Crystal system   tetragonal

Lattice parameters (Å, degrees): 3.292 8.760 8.760 90.00 90.00 90.00
Positions (direct):
In  0.000  0.181  0.319
In  0.000  0.681  0.181
In  0.000  0.819  0.681
In  0.000  0.319  0.819
Cd  0.500  0.882  0.382
Cd  0.500  0.118  0.618
Cd  0.500  0.382  0.118
Cd  0.500  0.618  0.882
Bi  0.000  0.500  0.500
Bi  0.000  0.000  0.000

=====

The following is a GGA-PBEsol calculation of crystalline CdIn2Bi at its relaxed geometry, from Alexandria via LeMat-Bulk.

## Properties
E   -22.37 eV for the cell shown
Density   8.459 g/cm3
Relative energy among the computed polymorphs   23 meV per atom
Density of states at the Fermi level   3.9 states/eV per cell
Energy of formation   0.066 eV per atom
Crystal system   tetragonal

Lattice parameters (Å, degrees): 6.195 6.672 6.672 77.55 62.34 62.34
Positions (direct):
In  0.375  0.493  0.007
In  0.618  0.007  0.507
In  0.875  0.507  0.993
In  0.132  0.993  0.493
Bi  0.750  0.500  0.500
Bi  0.000  0.000  0.000
Cd  0.500  0.000  0.000
Cd  0.250  0.500  0.500

=====

The following is a GGA-PBEsol calculation of crystalline CdBiIr2 at its relaxed geometry, from Alexandria via LeMat-Bulk.

## Properties
E   -23.44 eV for the cell shown
Density   16.487 g/cm3
Density of states at the Fermi level   4.7 states/eV per cell
Energy of formation   0.422 eV per atom
Crystal system   cubic

Lattice parameters (Å, degrees): 4.650 4.650 4.650 60.00 60.00 60.00
Positions (direct):
Ir  0.750  0.750  0.750
Ir  0.250  0.250  0.250
Bi  0.500  0.500  0.500
Cd  0.000  0.000  0.000

=====

The following is a GGA-PBEsol calculation of crystalline ScCd2BiIr at its relaxed geometry, from Alexandria via LeMat-Bulk.

## Properties
E   -17.84 eV for the cell shown
Density   7.847 g/cm3
Density of states at the Fermi level   3.5 states/eV per cell
Energy of formation   1.053 eV per atom
Crystal system   tetragonal

Lattice parameters (Å, degrees): 4.941 5.361 5.361 90.00 90.00 90.00
Positions (direct):
Bi  0.000  0.000  0.000
Sc  0.500  0.500  0.500
Cd  0.000  0.000  0.500
Cd  0.000  0.500  0.000
Ir  0.500  0.000  0.000

=====

The following is a GGA-PBEsol calculation of crystalline KTiCd2Bi at its relaxed geometry, from Alexandria via LeMat-Bulk.

## Properties
E   -15.43 eV for the cell shown
Density   5.502 g/cm3
Density of states at the Fermi level   3.5 states/eV per cell
Energy of formation   0.141 eV per atom
Crystal system   tetragonal

Lattice parameters (Å, degrees): 5.311 5.440 5.440 90.00 90.00 90.00
Positions (direct):
K  0.500  0.500  0.500
Ti  0.000  0.000  0.000
Bi  0.500  0.000  0.000
Cd  0.000  0.000  0.500
Cd  0.000  0.500  0.000

=====

The following is a GGA-PBEsol calculation of crystalline La3CdBi at its relaxed geometry, from Alexandria via LeMat-Bulk.

## Properties
E   -20.54 eV for the cell shown
Density   5.599 g/cm3
Density of states at the Fermi level   10.1 states/eV per cell
Energy of formation   0.196 eV per atom
Crystal system   cubic

Lattice parameters (Å, degrees): 6.027 6.027 6.027 90.00 90.00 90.00
Positions (direct):
La  0.000  0.500  0.000
La  0.500  0.000  0.000
La  0.000  0.000  0.500
Bi  0.000  0.000  0.000
Cd  0.500  0.500  0.500

=====

The following is a GGA-PBEsol calculation of crystalline LaCdBi2Te at its relaxed geometry, from Alexandria via LeMat-Bulk.

## Properties
E   -17.76 eV for the cell shown
Density   7.327 g/cm3
Formation energy (no corrections)   0.18 eV/atom
Density of states at the Fermi level   2.9 states/eV per cell
Crystal system   tetragonal

Lattice parameters (Å, degrees): 5.319 5.827 5.827 90.00 90.00 90.00
Positions (direct):
Bi  0.000  0.500  0.000
Bi  0.000  0.000  0.500
Te  0.000  0.000  0.000
Cd  0.500  0.000  0.000
La  0.500  0.500  0.500

=====

The following is a GGA-PBEsol calculation of crystalline LaY2CdBi at its relaxed geometry, from Alexandria via LeMat-Bulk.

## Properties
E   -23.03 eV for the cell shown
Density   5.837 g/cm3
Density of states at the Fermi level   7.4 states/eV per cell
Energy of formation   0.289 eV per atom
Crystal system   tetragonal

Lattice parameters (Å, degrees): 5.470 5.761 5.761 90.00 90.00 90.00
Positions (direct):
Y  0.000  0.500  0.000
Y  0.000  0.000  0.500
Cd  0.500  0.000  0.000
La  0.500  0.500  0.500
Bi  0.000  0.000  0.000

=====

The following is a GGA-PBEsol calculation of crystalline Li2CdBi at its relaxed geometry, from Alexandria via LeMat-Bulk.

## Properties
E   -10.91 eV for the cell shown
Density   6.972 g/cm3
Density of states at the Fermi level   0.8 states/eV per cell
Energy of formation   -0.373 eV per atom
Crystal system   cubic

Lattice parameters (Å, degrees): 4.833 4.833 4.833 60.00 60.00 60.00
Positions (direct):
Bi  0.500  0.500  0.500
Li  0.750  0.750  0.750
Li  0.250  0.250  0.250
Cd  0.000  0.000  0.000

=====

The following is a GGA-PBEsol calculation of crystalline Li2CdBi2 at its relaxed geometry, from Alexandria via LeMat-Bulk.

## Properties
E   -29.75 eV for the cell shown
Density   7.624 g/cm3
Density of states at the Fermi level   3.8 states/eV per cell
Energy of formation   -0.235 eV per atom
Crystal system   tetragonal

Lattice parameters (Å, degrees): 3.211 8.593 8.593 90.00 90.00 90.00
Positions (direct):
Li  0.500  0.380  0.120
Li  0.500  0.620  0.880
Li  0.500  0.120  0.620
Li  0.500  0.880  0.380
Cd  0.000  0.500  0.500
Cd  0.000  0.000  0.000
Bi  0.000  0.178  0.322
Bi  0.000  0.322  0.822
Bi  0.000  0.678  0.178
Bi  0.000  0.822  0.678

=====

The following is a GGA-PBEsol calculation of crystalline MgCd2Bi at its relaxed geometry, from Alexandria via LeMat-Bulk.

## Properties
E   -16.75 eV for the cell shown
Density   7.536 g/cm3
Density of states at the Fermi level   3.2 states/eV per cell
Energy of formation   0.005 eV per atom
Crystal system   tetragonal

Lattice parameters (Å, degrees): 4.291 4.291 11.375 100.87 100.87 90.00
Positions (direct):
Cd  0.388  0.875  0.250
Cd  0.625  0.612  0.750
Cd  0.125  0.138  0.750
Cd  0.862  0.375  0.250
Bi  0.000  0.000  0.000
Bi  0.250  0.750  0.500
Mg  0.750  0.250  0.500
Mg  0.500  0.500  0.000

=====

The following is a GGA-PBEsol calculation of crystalline Mg2Cd2Bi at its relaxed geometry, from Alexandria via LeMat-Bulk.

## Properties
E   -20.84 eV for the cell shown
Density   6.911 g/cm3
Density of states at the Fermi level   4.0 states/eV per cell
Energy of formation   -0.061 eV per atom
Crystal system   tetragonal

Lattice parameters (Å, degrees): 3.435 8.215 8.215 90.00 90.00 90.00
Positions (direct):
Cd  0.000  0.375  0.875
Cd  0.000  0.125  0.375
Cd  0.000  0.875  0.625
Cd  0.000  0.625  0.125
Mg  0.500  0.173  0.673
Mg  0.500  0.827  0.327
Mg  0.500  0.327  0.173
Mg  0.500  0.673  0.827
Bi  0.000  0.500  0.500
Bi  0.000  0.000  0.000

=====

The following is a GGA-PBEsol calculation of crystalline Sr2MnCdBi at its relaxed geometry, from Alexandria via LeMat-Bulk.

## Properties
E   -18.09 eV for the cell shown
Density   5.436 g/cm3
Density of states at the Fermi level   3.7 states/eV per cell
Energy of formation   0.166 eV per atom
Crystal system   tetragonal

Lattice parameters (Å, degrees): 4.982 5.815 5.815 90.00 90.00 90.00
Positions (direct):
Bi  0.500  0.000  0.000
Sr  0.000  0.000  0.500
Sr  0.000  0.500  0.000
Mn  0.000  0.000  0.000
Cd  0.500  0.500  0.500

=====

The following is a GGA-PBEsol calculation of crystalline CdBiN2 at its relaxed geometry, from Alexandria via LeMat-Bulk.

## Properties
E   -40.13 eV for the cell shown
Density   8.234 g/cm3
Formation energy (no corrections)   0.62 eV/atom
Density of states at the Fermi level   3.1 states/eV per cell
Crystal system   tetragonal

Lattice parameters (Å, degrees): 5.190 5.190 6.391 113.95 113.95 90.00
Positions (direct):
Cd  0.750  0.250  0.500
Cd  0.500  0.500  0.000
Bi  0.000  0.000  0.000
Bi  0.250  0.750  0.500
N  0.625  0.632  0.750
N  0.368  0.875  0.250
N  0.882  0.375  0.250
N  0.125  0.118  0.750

=====

The following is a GGA-PBEsol calculation of crystalline CdBiSN2 at its relaxed geometry, from Alexandria via LeMat-Bulk.

## Properties
E   -20.17 eV for the cell shown
Density   6.466 g/cm3
Formation energy (no corrections)   1.35 eV/atom
Density of states at the Fermi level   3.5 states/eV per cell
Crystal system   tetragonal

Lattice parameters (Å, degrees): 4.230 4.230 5.475 90.00 90.00 90.00
Positions (direct):
S  0.000  0.000  0.500
N  0.000  0.500  0.000
N  0.500  0.000  0.000
Cd  0.500  0.500  0.500
Bi  0.000  0.000  0.000

=====

The following is a GGA-PBEsol calculation of crystalline CdBiSe2N at its relaxed geometry, from Alexandria via LeMat-Bulk.

## Properties
E   -17.85 eV for the cell shown
Density   7.207 g/cm3
Formation energy (no corrections)   0.77 eV/atom
Density of states at the Fermi level   2.4 states/eV per cell
Crystal system   tetragonal

Lattice parameters (Å, degrees): 4.076 5.281 5.281 90.00 90.00 90.00
Positions (direct):
Cd  0.000  0.000  0.000
Se  0.000  0.500  0.000
Se  0.000  0.000  0.500
N  0.500  0.000  0.000
Bi  0.500  0.500  0.500

=====

The following is a GGA-PBEsol calculation of crystalline NaCd2Bi2 at its relaxed geometry, from Alexandria via LeMat-Bulk.

## Properties
E   -12.84 eV for the cell shown
Density   7.578 g/cm3
Density of states at the Fermi level   1.5 states/eV per cell
Energy of formation   -0.096 eV per atom
Crystal system   tetragonal

Lattice parameters (Å, degrees): 4.409 4.409 8.128 105.74 105.74 90.00
Positions (direct):
Na  0.000  0.000  0.000
Cd  0.750  0.250  0.500
Cd  0.250  0.750  0.500
Bi  0.386  0.386  0.772
Bi  0.614  0.614  0.228

=====

The following is a GGA-PBEsol calculation of crystalline NaCdBiPd2 at its relaxed geometry, from Alexandria via LeMat-Bulk.

## Properties
E   -15.45 eV for the cell shown
Density   8.656 g/cm3
Density of states at the Fermi level   2.0 states/eV per cell
Energy of formation   0.671 eV per atom
Crystal system   tetragonal

Lattice parameters (Å, degrees): 4.726 4.726 4.786 90.00 90.00 90.00
Positions (direct):
Cd  0.000  0.000  0.500
Pd  0.000  0.500  0.000
Pd  0.500  0.000  0.000
Bi  0.500  0.500  0.500
Na  0.000  0.000  0.000

=====

The following is a GGA-PBEsol calculation of crystalline NbTlCdBi2 at its relaxed geometry, from Alexandria via LeMat-Bulk.

## Properties
E   -21.29 eV for the cell shown
Density   8.567 g/cm3
Density of states at the Fermi level   2.4 states/eV per cell
Energy of formation   0.386 eV per atom
Crystal system   tetragonal

Lattice parameters (Å, degrees): 5.419 5.419 5.463 90.00 90.00 90.00
Positions (direct):
Tl  0.500  0.500  0.500
Cd  0.000  0.000  0.500
Bi  0.500  0.000  0.000
Bi  0.000  0.500  0.000
Nb  0.000  0.000  0.000